No. 1
Material: ZrSc2In5
Method: DFT, PBE-GGA
State: optimized geometry

a = 5.265 Å, b = 6.336 Å, c = 10.955 Å
α = 90.00°, β = 90.00°, γ = 90.00°
Atoms (fractional coordinates):
Zr1 0.000 0.000 0.000
Zr2 0.000 0.500 0.500
Sc1 0.000 0.000 0.503
Sc2 0.000 0.500 0.003
Sc3 0.500 0.000 0.837
Sc4 0.500 0.500 0.337
In1 0.000 0.248 0.252
In2 0.000 0.252 0.752
In3 0.000 0.748 0.752
In4 0.000 0.752 0.252
In5 0.500 0.000 0.333
In6 0.500 0.250 0.080
In7 0.500 0.250 0.580
In8 0.500 0.500 0.833
In9 0.500 0.750 0.080
In10 0.500 0.750 0.580

Properties
Magnetization: 1.21 μB per formula unit
Raw total energy: -0.339 Ry/atom
Density: 6.863 Mg/m³
Space-group type: No. 38

---

No. 2
Material: Tl5Au4
Method: DFT, PBE-GGA
State: optimized geometry

a = 15.515 Å, b = 14.929 Å, c = 5.944 Å
α = 84.35°, β = 73.24°, γ = 22.41°
Atoms (fractional coordinates):
Tl1 0.095 0.095 0.905
Tl2 0.179 0.482 0.518
Tl3 0.208 0.208 0.792
Tl4 0.317 0.683 0.317
Tl5 0.482 0.179 0.821
Tl6 0.518 0.821 0.179
Tl7 0.683 0.317 0.683
Tl8 0.792 0.792 0.208
Tl9 0.821 0.518 0.482
Tl10 0.905 0.905 0.095
Au1 0.088 0.088 0.412
Au2 0.250 0.250 0.250
Au3 0.412 0.412 0.088
Au4 0.425 0.425 0.575
Au5 0.575 0.575 0.425
Au6 0.588 0.588 0.912
Au7 0.750 0.750 0.750
Au8 0.912 0.912 0.588

Properties
Relative energy among the computed polymorphs: 0.0573 eV per atom
Density: 13.469 Mg/m³
Space-group type: No. 69

---

No. 3
Material: Hf4MgN5
Method: DFT, PBE-GGA
State: optimized geometry

a = 5.505 Å, b = 5.505 Å, c = 5.505 Å
α = 99.49°, β = 99.49°, γ = 132.09°
Atoms (fractional coordinates):
Hf1 0.104 0.298 0.402
Hf2 0.298 0.896 0.194
Hf3 0.702 0.104 0.806
Hf4 0.896 0.702 0.598
Mg1 0.500 0.500 0.000
N1 0.000 0.000 0.000
N2 0.202 0.596 0.798
N3 0.404 0.202 0.606
N4 0.596 0.798 0.394
N5 0.798 0.404 0.202

Properties
Magnetization: 0.00 μB per formula unit
Raw total energy: -0.733 Ry/atom
Density: 11.866 Mg/m³
Space-group type: No. 87

---

No. 4
Material: DyY2Co2B2As3
Method: DFT, PBE-GGA
State: optimized geometry

a = 11.646 Å, b = 11.646 Å, c = 11.646 Å
α = 160.56°, β = 160.56°, γ = 27.63°
Atoms (fractional coordinates):
Dy1 0.000 0.000 0.000
Y1 0.357 0.357 0.000
Y2 0.643 0.643 0.000
Co1 0.250 0.750 0.500
Co2 0.750 0.250 0.500
B1 0.219 0.219 0.000
B2 0.781 0.781 0.000
As1 0.125 0.125 0.000
As2 0.500 0.500 0.000
As3 0.875 0.875 0.000

Properties
Magnetization: 0.00 μB per formula unit
Raw total energy: -0.490 Ry/atom
Density: 6.688 Mg/m³
Space-group type: No. 139

---

No. 5
Material: KZnNO
Method: DFT, PBE-GGA
State: optimized geometry

a = 3.550 Å, b = 3.550 Å, c = 9.891 Å
α = 90.00°, β = 90.00°, γ = 90.00°
Atoms (fractional coordinates):
K1 0.250 0.250 0.193
K2 0.750 0.750 0.807
Zn1 0.250 0.750 0.500
Zn2 0.750 0.250 0.500
N1 0.250 0.250 0.603
N2 0.750 0.750 0.397
O1 0.250 0.750 0.000
O2 0.750 0.250 0.000

Properties
Relative energy among the computed polymorphs: 0.4930 eV per atom
Density: 3.583 Mg/m³
Space-group type: No. 129

---

No. 6
Material: NiSnHgS3
Method: DFT, PBE-GGA
State: optimized geometry

a = 6.383 Å, b = 6.383 Å, c = 11.195 Å
α = 90.00°, β = 90.00°, γ = 146.16°
Atoms (fractional coordinates):
Ni1 0.025 0.975 0.750
Ni2 0.975 0.025 0.250
Sn1 0.266 0.734 0.250
Sn2 0.734 0.266 0.750
Hg1 0.500 0.500 0.000
Hg2 0.500 0.500 0.500
S1 0.139 0.861 0.591
S2 0.139 0.861 0.909
S3 0.419 0.581 0.750
S4 0.581 0.419 0.250
S5 0.861 0.139 0.091
S6 0.861 0.139 0.409

Properties
Magnetization: 1.21 μB per formula unit
Relative energy among the computed polymorphs: 0.1327 eV per atom
Density: 6.200 Mg/m³
Space-group type: No. 63